An optimized crystal structure of Cs2K3In2Au4, computed with PBE.

It has space group I4/mmm (No. 139), with a = 5.498 Å, b = 5.498 Å, c = 28.763 Å, α = 90.00°, β = 90.00° and γ = 90.00°. The asymmetric unit holds Cs at (0.000, 0.000, 0.182), K at (0.000, 0.000, 0.364), K at (0.000, 0.000, 0.500), In at (0.000, 0.000, 0.052) and Au at (0.000, 0.500, 0.077).

For the uncorrected energy, the calculation gives -2.35 eV/atom.